Computed, not measured: TbSmZn3 after structural relaxation at the PBE level of DFT.

Values from the calculation:
**Calculated density**: 7.61 g/cm³
**ΔH_f (0 K)**: -0.33 eV per atom

Lattice parameters (Å, degrees): 3.576 4.503 13.813 90.00 97.44 90.00
Element x y z (fractional)
1 Zn 0.667 0.250 0.334
2 Zn 0.333 0.750 0.666
3 Zn 0.477 0.250 0.954
4 Zn 0.523 0.750 0.046
5 Zn 0.384 0.250 0.768
6 Zn 0.616 0.750 0.232
7 Tb 0.929 0.750 0.858
8 Tb 0.071 0.250 0.142
9 Sm 0.792 0.250 0.583
10 Sm 0.208 0.750 0.417